[1]
The following is a GGA-PBE calculation of Ho12Er6Sn after structural relaxation, from the Alexandria database.

Geometry as POSCAR:
```
Ho12Er6Sn
1.0
8.311 0.699 0.838
-0.569 8.321 0.838
-0.569 -0.663 8.337
Ho Sn Er
12 1 6
direct
0.813 0.637 0.989
0.363 0.011 0.187
0.459 0.567 0.220
0.011 0.187 0.363
0.187 0.363 0.011
0.433 0.780 0.541
0.567 0.220 0.459
0.780 0.541 0.433
0.989 0.813 0.637
0.541 0.433 0.780
0.637 0.989 0.813
0.220 0.459 0.567
0.000 0.000 0.000
0.257 0.095 0.703
0.743 0.905 0.297
0.095 0.703 0.257
0.297 0.743 0.905
0.905 0.297 0.743
0.703 0.257 0.095
```

DOS(E_F) (states/eV/atom): 1.443
Total energy (eV/atom): -4.50
Space group: R-3 (148)
Calculated volume (Å³ per cell): 588
ΔE_f (eV/atom): 0.04


[2]
The following is a GGA-PBE calculation of CuPd2O4 after structural relaxation, from the Alexandria database.

Geometry as POSCAR:
```
CuPd2O4
1.0
4.865 0.000 2.789
1.482 5.291 3.053
-0.365 0.085 6.275
O Pd Cu
8 4 2
direct
0.724 0.761 0.261
0.278 0.270 0.173
0.722 0.327 0.230
0.747 0.239 0.739
0.722 0.730 0.827
0.278 0.673 0.770
0.276 0.239 0.739
0.253 0.761 0.261
0.500 0.500 0.500
0.500 0.000 0.000
0.173 0.077 0.577
0.827 0.923 0.423
0.000 0.500 0.000
0.500 0.500 0.000
```

DOS(E_F) (states/eV/atom): 0.863
Total energy (eV/atom): -5.21
Space group: Imma (74)
Calculated volume (Å³ per cell): 166
Formation energy without anion corrections (kJ/mol of atoms): -30


[3]
The following is a GGA-PBE calculation of LaZn11Ag after structural relaxation, from the Alexandria database.

Geometry as POSCAR:
```
LaZn11Ag
1.0
4.919 0.043 2.049
2.453 6.408 1.022
-0.009 0.021 6.949
Zn Ag La
11 1 1
direct
0.006 0.355 0.640
0.646 0.355 0.360
0.729 0.779 0.773
0.503 0.779 0.227
0.000 0.000 0.500
0.271 0.221 0.227
0.000 0.500 0.000
0.354 0.645 0.640
0.994 0.645 0.360
0.497 0.221 0.773
0.500 0.000 0.500
0.500 0.500 0.000
0.000 0.000 0.000
```

DOS(E_F) (states/eV/atom): 0.333
Total energy (eV/atom): -1.85
Space group: C2/m (12)
Calculated volume (Å³ per cell): 218
ΔE_f (eV/atom): -0.18


[4]
The following is a GGA-PBE calculation of CsScTe2 after structural relaxation, from the Alexandria database.

Geometry as POSCAR:
```
CsScTe2
1.0
21.517 0.000 -0.714
0.000 4.145 0.000
-7.870 0.000 7.804
Te Sc Cs
8 4 4
direct
0.851 0.751 0.682
0.351 0.749 0.182
0.634 0.751 0.169
0.134 0.749 0.669
0.649 0.251 0.818
0.366 0.249 0.831
0.149 0.249 0.318
0.866 0.251 0.331
0.275 0.249 0.925
0.725 0.751 0.075
0.775 0.251 0.425
0.225 0.749 0.575
0.065 0.250 0.872
0.565 0.250 0.372
0.935 0.750 0.128
0.435 0.750 0.628
```

DOS(E_F) (states/eV/atom): 0.000
Total energy (eV/atom): -4.53
Space group: P2_1/m (11)
Calculated volume (Å³ per cell): 673
Formation energy without anion corrections (kJ/mol of atoms): -112